No. 1
# Rb2Tl2Pb | Alexandria via LeMat-Bulk | PBE | relaxed
data_Rb2Tl2Pb
_chemical_formula_sum 'Rb8 Tl8 Pb4'
_symmetry_space_group_name_H-M 'C 1 2/c 1'
_symmetry_Int_Tables_number 15
_cell_length_a 12.209
_cell_length_b 7.275
_cell_length_c 9.960
_cell_angle_alpha 90.00
_cell_angle_beta 101.78
_cell_angle_gamma 90.00
loop_
_symmetry_equiv_pos_as_xyz
'x,y,z'
'-x,-y,-z'
'-x,y,-z+1/2'
'x,-y,z+1/2'
'x+1/2,y+1/2,z'
'-x+1/2,-y+1/2,-z'
'-x+1/2,y+1/2,-z+1/2'
'x+1/2,-y+1/2,z+1/2'
loop_
_atom_site_label
_atom_site_fract_x
_atom_site_fract_y
_atom_site_fract_z
Rb1 0.153 0.114 0.161
Tl1 0.123 0.373 0.496
Pb1 0.000 0.370 0.750
# DOS at the Fermi energy = 9.18 states/eV/cell
# Energy = -2.18 eV/atom
# Volume = 866 Å³/cell
# Total magnetic moment = 0.000 μB/atom
# DFT formation energy = -0.106 eV per atom

***

No. 2
# NiOs2Br | Alexandria via LeMat-Bulk | PBE | relaxed
data_NiOs2Br
_chemical_formula_sum 'Ni2 Os4 Br2'
_symmetry_space_group_name_H-M 'C 1 2/m 1'
_symmetry_Int_Tables_number 12
_cell_length_a 8.310
_cell_length_b 2.900
_cell_length_c 5.118
_cell_angle_alpha 90.00
_cell_angle_beta 101.54
_cell_angle_gamma 90.00
loop_
_symmetry_equiv_pos_as_xyz
'x,y,z'
'-x,-y,-z'
'-x,y,-z'
'x,-y,z'
'x+1/2,y+1/2,z'
'-x+1/2,-y+1/2,-z'
'-x+1/2,y+1/2,-z'
'x+1/2,-y+1/2,z'
loop_
_atom_site_label
_atom_site_fract_x
_atom_site_fract_y
_atom_site_fract_z
Ni1 0.000 0.000 0.000
Os1 0.245 0.500 0.210
Br1 0.000 0.500 0.500
# DOS at the Fermi energy = 8.08 states/eV/cell
# Energy = -6.50 eV/atom
# Volume = 121 Å³/cell
# Raw formation energy = 0.980 eV per atom
# Total magnetic moment = 0.000 μB/atom

***

No. 3
# LiMg2Te | Alexandria via LeMat-Bulk | PBE | relaxed
data_LiMg2Te
_chemical_formula_sum 'Li2 Mg4 Te2'
_symmetry_space_group_name_H-M 'I -4 m 2'
_symmetry_Int_Tables_number 119
_symmetry_space_group_name_Hall 'I -4 -2'
_cell_length_a 4.260
_cell_length_b 4.260
_cell_length_c 10.162
_cell_angle_alpha 90.00
_cell_angle_beta 90.00
_cell_angle_gamma 90.00
loop_
_atom_site_label
_atom_site_fract_x
_atom_site_fract_y
_atom_site_fract_z
Li1 0.000 0.000 0.000
Mg1 0.000 0.000 0.500
Mg2 0.000 0.500 0.750
Te1 0.000 0.500 0.250
# DOS at the Fermi energy = 2.58 states/eV/cell
# Energy = -2.34 eV/atom
# Volume = 184 Å³/cell
# Raw formation energy = -0.278 eV per atom
# Total magnetic moment = 0.000 μB/atom

***

No. 4
# UPOsN | Alexandria via LeMat-Bulk | PBE | relaxed
data_UPOsN
_chemical_formula_sum 'U2 P2 Os2 N2'
_symmetry_space_group_name_H-M 'P 4/n m m'
_symmetry_Int_Tables_number 129
_cell_length_a 3.954
_cell_length_b 3.954
_cell_length_c 7.616
_cell_angle_alpha 90.00
_cell_angle_beta 90.00
_cell_angle_gamma 90.00
loop_
_symmetry_equiv_pos_as_xyz
'x,y,z'
'-x,-y,-z'
'-y+1/2,x,z'
'y+1/2,-x,-z'
'-x+1/2,-y+1/2,z'
'x+1/2,y+1/2,-z'
'y,-x+1/2,z'
'-y,x+1/2,-z'
'x+1/2,-y,-z'
'-x+1/2,y,z'
'-y,-x,-z'
'y,x,z'
'-x,y+1/2,-z'
'x,-y+1/2,z'
'y+1/2,x+1/2,-z'
'-y+1/2,-x+1/2,z'
loop_
_atom_site_label
_atom_site_fract_x
_atom_site_fract_y
_atom_site_fract_z
U1 0.250 0.250 0.148
P1 0.250 0.250 0.665
Os1 0.250 0.750 0.500
N1 0.250 0.750 0.000
# DOS at the Fermi energy = 8.28 states/eV/cell
# Energy = -10.03 eV/atom
# Volume = 119 Å³/cell
# Raw formation energy = -0.970 eV per atom
# Total magnetic moment = 0.109 μB/atom

***

No. 5
# Tl2SiHgAu | Alexandria via LeMat-Bulk | PBE | relaxed
data_Tl2SiHgAu
_chemical_formula_sum 'Tl2 Si1 Hg1 Au1'
_symmetry_space_group_name_H-M 'P 4/m m m'
_symmetry_Int_Tables_number 123
_symmetry_space_group_name_Hall '-P 4 2'
_cell_length_a 5.827
_cell_length_b 5.827
_cell_length_c 4.685
_cell_angle_alpha 90.00
_cell_angle_beta 90.00
_cell_angle_gamma 90.00
loop_
_atom_site_label
_atom_site_fract_x
_atom_site_fract_y
_atom_site_fract_z
Tl1 0.000 0.500 0.000
Si1 0.000 0.000 0.500
Hg1 0.500 0.500 0.500
Au1 0.000 0.000 0.000
# DOS at the Fermi energy = 3.70 states/eV/cell
# Energy = -2.44 eV/atom
# Volume = 159 Å³/cell
# Raw formation energy = 0.312 eV per atom
# Total magnetic moment = 0.000 μB/atom

***

No. 6
# ZrTi3Cl | Alexandria via LeMat-Bulk | PBE | relaxed
data_ZrTi3Cl
_chemical_formula_sum 'Zr1 Ti3 Cl1'
_symmetry_space_group_name_H-M 'P m -3 m'
_symmetry_Int_Tables_number 221
_symmetry_space_group_name_Hall '-P 4 2 3'
_cell_length_a 5.006
_cell_length_b 5.006
_cell_length_c 5.006
_cell_angle_alpha 90.00
_cell_angle_beta 90.00
_cell_angle_gamma 90.00
loop_
_atom_site_label
_atom_site_fract_x
_atom_site_fract_y
_atom_site_fract_z
Zr1 0.000 0.000 0.000
Ti1 0.000 0.000 0.500
Cl1 0.500 0.500 0.500
# DOS at the Fermi energy = 5.84 states/eV/cell
# Energy = -5.58 eV/atom
# Volume = 125 Å³/cell
# Raw formation energy = 1.235 eV per atom
# Total magnetic moment = 0.595 μB/atom

***

No. 7
# NaSr2LaTi4O12 | Alexandria via LeMat-Bulk | PBE | relaxed
data_NaSr2LaTi4O12
_chemical_formula_sum 'Na2 Sr4 La2 Ti8 O24'
_symmetry_space_group_name_H-M 'I 4/m m m'
_symmetry_Int_Tables_number 139
_symmetry_space_group_name_Hall '-I 4 2'
_cell_length_a 5.553
_cell_length_b 5.553
_cell_length_c 15.690
_cell_angle_alpha 90.00
_cell_angle_beta 90.00
_cell_angle_gamma 90.00
loop_
_atom_site_label
_atom_site_fract_x
_atom_site_fract_y
_atom_site_fract_z
Na1 0.000 0.000 0.000
Sr1 0.000 0.000 0.249
La1 0.000 0.000 0.500
Ti1 0.000 0.500 0.124
O1 0.000 0.500 0.000
O2 0.000 0.500 0.250
O3 0.244 0.244 0.377
# DOS at the Fermi energy = 0.00 states/eV/cell
# Energy = -8.10 eV/atom
# Volume = 484 Å³/cell
# Raw formation energy = -3.069 eV per atom
# Total magnetic moment = 0.000 μB/atom

***

No. 8
# Li2CdRhS | Alexandria via LeMat-Bulk | PBE | relaxed
data_Li2CdRhS
_chemical_formula_sum 'Li2 Cd1 Rh1 S1'
_symmetry_space_group_name_H-M 'P 4/m m m'
_symmetry_Int_Tables_number 123
_symmetry_space_group_name_Hall '-P 4 2'
_cell_length_a 5.030
_cell_length_b 5.030
_cell_length_c 4.292
_cell_angle_alpha 90.00
_cell_angle_beta 90.00
_cell_angle_gamma 90.00
loop_
_atom_site_label
_atom_site_fract_x
_atom_site_fract_y
_atom_site_fract_z
Li1 0.000 0.500 0.000
Cd1 0.000 0.000 0.500
Rh1 0.500 0.500 0.000
S1 0.500 0.500 0.500
# DOS at the Fermi energy = 1.69 states/eV/cell
# Energy = -3.47 eV/atom
# Volume = 109 Å³/cell
# Raw formation energy = -0.222 eV per atom
# Total magnetic moment = 0.000 μB/atom

***

Look up the volume of the third one. 184 Å³/cell